Record 1
DFT (PBE) results for a geometry-optimized YSi3Pt structure.

Cell: 5.136 5.136 5.136 Å, 90.00 90.00 90.00°
Sites, in units of the cell vectors:
Y1 0.000 0.000 0.000
Si1 0.000 0.500 0.000
Si2 0.000 0.000 0.500
Si3 0.500 0.000 0.000
Pt1 0.500 0.500 0.500

Values from the calculation:
As for the calculated volume: 27.10 Å³/atom. For the uncorrected formation energy, the calculation gives 151.5 kJ per mole of atoms. The magnetization is 0.00 μB per formula unit.



Record 2
DFT (PBE) results for a geometry-optimized YSi2Pt3 structure.

Cell: 3.974 8.367 9.943 Å, 106.92 90.00 103.74°
Sites, in units of the cell vectors:
Y1 0.153 0.305 0.690
Y2 0.847 0.695 0.310
Y3 0.000 0.000 0.000
Si1 0.201 0.401 0.133
Si2 0.799 0.599 0.867
Si3 0.462 0.925 0.223
Si4 0.538 0.075 0.777
Si5 0.363 0.725 0.552
Si6 0.637 0.275 0.448
Pt1 0.039 0.078 0.326
Pt2 0.961 0.922 0.674
Pt3 0.225 0.449 0.389
Pt4 0.775 0.551 0.611
Pt5 0.622 0.243 0.194
Pt6 0.378 0.757 0.806
Pt7 0.500 0.000 0.500
Pt8 0.325 0.651 0.049
Pt9 0.675 0.349 0.951

Values from the calculation:
As for the calculated volume: 17.02 Å³/atom. For the uncorrected formation energy, the calculation gives -101.2 kJ per mole of atoms. The magnetization is 0.00 μB per formula unit.



Q: Look up the uncorrected formation energy of the first one.
A: 151.5 kJ per mole of atoms